## i
Compound: Na2HgAs2
Source: Alexandria
Functional: PBE
Structure: optimized geometry

a = 9.196 Å, b = 9.196 Å, c = 9.196 Å
α = 156.07°, β = 156.07°, γ = 34.10°
Fractional coordinates of all 5 atoms:
Na 0.112 0.112 0.000
Na 0.888 0.888 0.000
Hg 0.500 0.500 0.000
As 0.250 0.750 0.500
As 0.750 0.250 0.500

Its space group is I4/mmm (139). As for the total magnetization: 0.00 Bohr magnetons per cell.



## ii
Compound: Na2HgAs2
Source: Alexandria
Functional: PBE
Structure: optimized geometry

a = 9.228 Å, b = 9.228 Å, c = 2.784 Å
α = 90.00°, β = 90.00°, γ = 90.00°
Fractional coordinates of all 10 atoms:
Na 0.131 0.369 0.000
Na 0.369 0.869 0.000
Na 0.631 0.131 0.000
Na 0.869 0.631 0.000
Hg 0.000 0.000 0.000
Hg 0.500 0.500 0.000
As 0.165 0.665 0.500
As 0.335 0.165 0.500
As 0.665 0.835 0.500
As 0.835 0.335 0.500

Its space group is P4/mbm (127). As for the total magnetization: 0.00 Bohr magnetons per cell.



## iii
Compound: Na2HgAs2
Source: Alexandria
Functional: PBE
Structure: optimized geometry

a = 7.625 Å, b = 7.625 Å, c = 4.301 Å
α = 90.00°, β = 90.00°, γ = 90.00°
Fractional coordinates of all 10 atoms:
Na 0.181 0.319 0.000
Na 0.319 0.819 0.000
Na 0.681 0.181 0.000
Na 0.819 0.681 0.000
Hg 0.000 0.000 0.500
Hg 0.500 0.500 0.500
As 0.111 0.611 0.500
As 0.389 0.111 0.500
As 0.611 0.889 0.500
As 0.889 0.389 0.500

Its space group is P4/mbm (127). As for the total magnetization: 0.00 Bohr magnetons per cell.



## iv
Compound: Na2HgAs2
Source: Alexandria
Functional: PBE
Structure: optimized geometry

a = 5.972 Å, b = 5.972 Å, c = 10.763 Å
α = 116.14°, β = 116.14°, γ = 46.65°
Fractional coordinates of all 10 atoms:
Na 0.003 0.003 0.309
Na 0.183 0.183 0.095
Na 0.817 0.817 0.905
Na 0.997 0.997 0.691
Hg 0.275 0.275 0.666
Hg 0.725 0.725 0.334
As 0.371 0.371 0.453
As 0.473 0.473 0.101
As 0.527 0.527 0.899
As 0.629 0.629 0.547

Its space group is C2/m (12). As for the total magnetization: 0.00 Bohr magnetons per cell.



Least stable = ii



## i
Compound: Na2Hg2As
Source: Alexandria
Functional: PBE
Structure: optimized geometry

a = 7.362 Å, b = 7.362 Å, c = 4.800 Å
α = 90.00°, β = 90.00°, γ = 90.00°
Fractional coordinates of all 10 atoms:
Na 0.175 0.325 0.000
Na 0.325 0.825 0.000
Na 0.675 0.175 0.000
Na 0.825 0.675 0.000
Hg 0.139 0.639 0.500
Hg 0.361 0.139 0.500
Hg 0.639 0.861 0.500
Hg 0.861 0.361 0.500
As 0.000 0.000 0.500
As 0.500 0.500 0.500

Its space group is P4/mbm (127). As for the total magnetization: 0.00 Bohr magnetons per cell.



## ii
Compound: Na2Hg2As
Source: Alexandria
Functional: PBE
Structure: optimized geometry

a = 8.234 Å, b = 8.234 Å, c = 3.789 Å
α = 90.00°, β = 90.00°, γ = 90.00°
Fractional coordinates of all 10 atoms:
Na 0.166 0.334 0.000
Na 0.334 0.834 0.000
Na 0.666 0.166 0.000
Na 0.834 0.666 0.000
Hg 0.135 0.635 0.500
Hg 0.365 0.135 0.500
Hg 0.635 0.865 0.500
Hg 0.865 0.365 0.500
As 0.000 0.000 0.000
As 0.500 0.500 0.000

Its space group is P4/mbm (127). As for the total magnetization: 0.00 Bohr magnetons per cell.



## iii
Compound: Na2Hg2As
Source: Alexandria
Functional: PBE
Structure: optimized geometry

a = 6.873 Å, b = 6.873 Å, c = 9.436 Å
α = 109.72°, β = 109.72°, γ = 38.34°
Fractional coordinates of all 10 atoms:
Na 0.140 0.140 0.405
Na 0.157 0.157 0.010
Na 0.843 0.843 0.990
Na 0.860 0.860 0.595
Hg 0.401 0.401 0.356
Hg 0.461 0.461 0.835
Hg 0.539 0.539 0.165
Hg 0.599 0.599 0.644
As 0.231 0.231 0.740
As 0.769 0.769 0.260

Its space group is C2/m (12). As for the total magnetization: 0.00 Bohr magnetons per cell.



## iv
Compound: Na2Hg2As
Source: Alexandria
Functional: PBE
Structure: optimized geometry

a = 5.942 Å, b = 5.942 Å, c = 11.530 Å
α = 110.78°, β = 110.78°, γ = 44.05°
Fractional coordinates of all 10 atoms:
Na 0.016 0.016 0.344
Na 0.193 0.193 0.123
Na 0.807 0.807 0.877
Na 0.984 0.984 0.656
Hg 0.356 0.356 0.447
Hg 0.464 0.464 0.113
Hg 0.536 0.536 0.887
Hg 0.644 0.644 0.553
As 0.282 0.282 0.679
As 0.718 0.718 0.321

Its space group is C2/m (12). As for the total magnetization: 0.00 Bohr magnetons per cell.



Least stable = ii



## i
Compound: Na2HgAs
Source: Alexandria
Functional: PBE
Structure: optimized geometry

a = 3.366 Å, b = 3.366 Å, c = 8.454 Å
α = 90.00°, β = 90.00°, γ = 90.00°
Fractional coordinates of all 4 atoms:
Na 0.000 0.000 0.221
Na 0.000 0.000 0.779
Hg 0.500 0.500 0.500
As 0.500 0.500 0.000

Its space group is P4/mmm (123). As for the total magnetization: 0.00 Bohr magnetons per cell.



## ii
Compound: Na2HgAs
Source: Alexandria
Functional: PBE
Structure: optimized geometry

a = 5.285 Å, b = 5.285 Å, c = 3.340 Å
α = 90.00°, β = 90.00°, γ = 90.00°
Fractional coordinates of all 4 atoms:
Na 0.000 0.500 0.000
Na 0.500 0.000 0.000
Hg 0.000 0.000 0.500
As 0.500 0.500 0.500

Its space group is P4/mmm (123). As for the total magnetization: 0.00 Bohr magnetons per cell.



Least stable = ii



## i
Compound: Na2HgAs
Source: Alexandria
Functional: PBE
Structure: optimized geometry

a = 5.079 Å, b = 5.079 Å, c = 5.079 Å
α = 60.00°, β = 60.00°, γ = 60.00°
Fractional coordinates of all 4 atoms:
Na 0.250 0.250 0.250
Na 0.750 0.750 0.750
Hg 0.000 0.000 0.000
As 0.500 0.500 0.500

Its space group is Fm-3m (225). As for the total magnetization: 0.00 Bohr magnetons per cell.



## ii
Compound: Na2HgAs
Source: Alexandria
Functional: PBE
Structure: optimized geometry

a = 5.160 Å, b = 5.160 Å, c = 5.160 Å
α = 58.24°, β = 58.24°, γ = 58.24°
Fractional coordinates of all 4 atoms:
Na 0.000 0.000 0.000
Na 0.252 0.252 0.252
Hg 0.503 0.503 0.503
As 0.740 0.740 0.740

Its space group is R3m (160). As for the total magnetization: 0.00 Bohr magnetons per cell.



## iii
Compound: Na2HgAs
Source: Alexandria
Functional: PBE
Structure: optimized geometry

a = 7.949 Å, b = 7.949 Å, c = 7.949 Å
α = 31.70°, β = 31.70°, γ = 31.70°
Fractional coordinates of all 4 atoms:
Na 0.000 0.000 0.000
Na 0.206 0.206 0.206
Hg 0.430 0.430 0.430
As 0.604 0.604 0.604

Its space group is R3m (160). As for the total magnetization: 0.21 Bohr magnetons per cell.



## iv
Compound: Na2HgAs
Source: Alexandria
Functional: PBE
Structure: optimized geometry

a = 5.922 Å, b = 4.557 Å, c = 8.227 Å
α = 90.00°, β = 107.73°, γ = 90.00°
Fractional coordinates of all 8 atoms:
Na 0.188 0.250 0.420
Na 0.270 0.750 0.073
Na 0.730 0.250 0.927
Na 0.812 0.750 0.580
Hg 0.370 0.750 0.714
Hg 0.630 0.250 0.286
As 0.163 0.250 0.792
As 0.837 0.750 0.208

Its space group is P2_1/m (11). As for the total magnetization: 0.00 Bohr magnetons per cell.



Least stable = iii



## i
Compound: Na2HgAs
Source: Alexandria
Functional: PBE
Structure: optimized geometry

a = 10.573 Å, b = 10.573 Å, c = 10.573 Å
α = 155.45°, β = 155.45°, γ = 34.99°
Fractional coordinates of all 8 atoms:
Na 0.105 0.625 0.980
Na 0.375 0.355 0.480
Na 0.645 0.125 0.020
Na 0.875 0.895 0.520
Hg 0.250 0.750 0.500
Hg 0.500 0.500 0.000
As 0.000 0.000 0.000
As 0.750 0.250 0.500

Its space group is I-42d (122). As for the total magnetization: 0.00 Bohr magnetons per cell.



## ii
Compound: Na2HgAs
Source: Alexandria
Functional: PBE
Structure: optimized geometry

a = 7.672 Å, b = 7.672 Å, c = 7.672 Å
α = 33.15°, β = 33.15°, γ = 33.15°
Fractional coordinates of all 4 atoms:
Na 0.232 0.232 0.232
Na 0.768 0.768 0.768
Hg 0.000 0.000 0.000
As 0.500 0.500 0.500

Its space group is R-3m (166). As for the total magnetization: 0.24 Bohr magnetons per cell.



Least stable = i



## i
Compound: Na3HgAs
Source: Alexandria
Functional: PBE
Structure: optimized geometry

a = 5.591 Å, b = 5.591 Å, c = 5.591 Å
α = 90.00°, β = 90.00°, γ = 90.00°
Fractional coordinates of all 5 atoms:
Na 0.000 0.000 0.500
Na 0.000 0.500 0.000
Na 0.500 0.000 0.000
Hg 0.500 0.500 0.500
As 0.000 0.000 0.000

Its space group is Pm-3m (221). As for the total magnetization: 0.00 Bohr magnetons per cell.



## ii
Compound: Na3HgAs
Source: Alexandria
Functional: PBE
Structure: optimized geometry

a = 7.404 Å, b = 7.404 Å, c = 7.404 Å
α = 104.46°, β = 113.48°, γ = 110.60°
Fractional coordinates of all 10 atoms:
Na 0.195 0.060 0.255
Na 0.195 0.440 0.635
Na 0.223 0.564 0.159
Na 0.405 0.064 0.841
Na 0.805 0.560 0.365
Na 0.805 0.940 0.745
Hg 0.653 0.420 0.733
Hg 0.686 0.920 0.267
As 0.078 0.727 0.851
As 0.876 0.227 0.149

Its space group is Ima2 (46). As for the total magnetization: 0.00 Bohr magnetons per cell.



## iii
Compound: Na3HgAs
Source: Alexandria
Functional: PBE
Structure: optimized geometry

a = 5.239 Å, b = 6.057 Å, c = 8.779 Å
α = 92.21°, β = 90.03°, γ = 90.04°
Fractional coordinates of all 10 atoms:
Na 0.248 0.482 0.224
Na 0.249 0.150 0.580
Na 0.250 0.948 0.908
Na 0.750 0.052 0.092
Na 0.751 0.850 0.420
Na 0.752 0.518 0.776
Hg 0.251 0.650 0.585
Hg 0.749 0.350 0.415
As 0.250 0.978 0.251
As 0.750 0.022 0.749

Its space group is P-1 (2). As for the total magnetization: 0.00 Bohr magnetons per cell.



Least stable = ii



## i
Compound: RbNa2HgAs
Source: Alexandria
Functional: PBE
Structure: optimized geometry

a = 5.675 Å, b = 5.675 Å, c = 5.690 Å
α = 90.00°, β = 90.00°, γ = 90.00°
Fractional coordinates of all 5 atoms:
Rb 0.000 0.000 0.000
Na 0.000 0.500 0.500
Na 0.500 0.000 0.500
Hg 0.500 0.500 0.000
As 0.500 0.500 0.500

Its space group is P4/mmm (123). As for the total magnetization: 0.00 Bohr magnetons per cell.



## ii
Compound: RbNa2HgAs
Source: Alexandria
Functional: PBE
Structure: optimized geometry

a = 5.621 Å, b = 5.621 Å, c = 6.795 Å
α = 90.00°, β = 90.00°, γ = 90.00°
Fractional coordinates of all 5 atoms:
Rb 0.000 0.000 0.000
Na 0.000 0.500 0.500
Na 0.500 0.000 0.500
Hg 0.500 0.500 0.000
As 0.000 0.000 0.500

Its space group is P4/mmm (123). As for the total magnetization: 0.00 Bohr magnetons per cell.



Least stable = i



## i
Compound: NaHgAsSe2
Source: Alexandria
Functional: PBE
Structure: optimized geometry

a = 5.430 Å, b = 5.430 Å, c = 5.198 Å
α = 90.00°, β = 90.00°, γ = 90.00°
Fractional coordinates of all 5 atoms:
Na 0.000 0.000 0.000
Hg 0.500 0.500 0.500
As 0.500 0.500 0.000
Se 0.000 0.500 0.500
Se 0.500 0.000 0.500

Its space group is P4/mmm (123). As for the total magnetization: 1.14 Bohr magnetons per cell.



## ii
Compound: NaHgAsSe2
Source: Alexandria
Functional: PBE
Structure: optimized geometry

a = 5.151 Å, b = 5.151 Å, c = 5.176 Å
α = 90.00°, β = 90.00°, γ = 90.00°
Fractional coordinates of all 5 atoms:
Na 0.000 0.000 0.000
Hg 0.500 0.500 0.500
As 0.000 0.000 0.500
Se 0.000 0.500 0.000
Se 0.500 0.000 0.000

Its space group is P4/mmm (123). As for the total magnetization: 0.00 Bohr magnetons per cell.



Least stable = ii



## i
Compound: NaSnHgAs
Source: Alexandria
Functional: PBE
Structure: optimized geometry

a = 5.190 Å, b = 5.190 Å, c = 5.190 Å
α = 60.00°, β = 60.00°, γ = 60.00°
Fractional coordinates of all 4 atoms:
Na 0.000 0.000 0.000
Sn 0.500 0.500 0.500
Hg 0.750 0.750 0.750
As 0.250 0.250 0.250

Its space group is F-43m (216). As for the total magnetization: 0.00 Bohr magnetons per cell.



## ii
Compound: NaSnHgAs
Source: Alexandria
Functional: PBE
Structure: optimized geometry

a = 4.036 Å, b = 4.036 Å, c = 9.221 Å
α = 102.51°, β = 102.51°, γ = 59.91°
Fractional coordinates of all 4 atoms:
Na 0.000 0.000 0.000
Sn 0.457 0.457 0.373
Hg 0.575 0.575 0.722
As 0.739 0.739 0.216

Its space group is Cm (8). As for the total magnetization: 0.00 Bohr magnetons per cell.



Least stable = i